one | CsCeSiSe4 | PBE | relaxed

Properties
space group	P2_1/m

a = 6.8133 Å, b = 7.0699 Å, c = 9.9391 Å
α = 90.00°, β = 108.61°, γ = 90.00°
Fractional positions:
Cs1 0.2359 0.2500 0.4361
Cs2 0.7641 0.7500 0.5639
Ce1 0.2685 0.2500 0.9525
Ce2 0.7315 0.7500 0.0475
Si1 0.2912 0.7500 0.1696
Si2 0.7088 0.2500 0.8304
Se1 0.0933 0.7500 0.9357
Se2 0.0955 0.7500 0.3166
Se3 0.4878 0.5043 0.7932
Se4 0.4878 0.9957 0.7932
Se5 0.5122 0.0043 0.2068
Se6 0.5122 0.4957 0.2068
Se7 0.9045 0.2500 0.6834
Se8 0.9067 0.2500 0.0643



two | CsCeSiSe4 | PBE | relaxed

Properties
space group	P2_12_12_1

a = 6.8308 Å, b = 7.1619 Å, c = 18.7784 Å
α = 90.00°, β = 90.00°, γ = 90.00°
Fractional positions:
Cs1 0.0132 0.0052 0.4671
Cs2 0.4868 0.9948 0.9671
Cs3 0.5132 0.4948 0.5329
Cs4 0.9868 0.5052 0.0329
Ce1 0.2073 0.0223 0.7269
Ce2 0.2927 0.9777 0.2269
Ce3 0.7073 0.4777 0.2731
Ce4 0.7927 0.5223 0.7731
Si1 0.2118 0.5153 0.3347
Si2 0.2882 0.4847 0.8347
Si3 0.7118 0.9847 0.6653
Si4 0.7882 0.0153 0.1653
Se1 0.0523 0.0113 0.0920
Se2 0.0670 0.2501 0.8573
Se3 0.1059 0.7527 0.8488
Se4 0.1159 0.5684 0.2195
Se5 0.3841 0.4316 0.7195
Se6 0.3941 0.2473 0.3488
Se7 0.4330 0.7499 0.3573
Se8 0.4477 0.9887 0.5920
Se9 0.5523 0.4887 0.9080
Se10 0.5670 0.2499 0.1427
Se11 0.6059 0.7473 0.1512
Se12 0.6159 0.9316 0.7805
Se13 0.8841 0.0684 0.2805
Se14 0.8941 0.2527 0.6512
Se15 0.9330 0.7501 0.6427
Se16 0.9477 0.5113 0.4080



The energy of each structure relative to the most stable one, in meV/atom, is as follows: one 7; two 0.



one | Ce2DyCu | PBE | relaxed

Properties
space group	R-3m

a = 10.2606 Å, b = 10.2606 Å, c = 10.2606 Å
α = 19.64°, β = 19.64°, γ = 19.64°
Fractional positions:
Ce1 0.2374 0.2374 0.2374
Ce2 0.7626 0.7626 0.7626
Dy1 0.0000 0.0000 0.0000
Cu1 0.5000 0.5000 0.5000



two | Ce2DyCu | PBE | relaxed

Properties
space group	P4/mmm

a = 3.6132 Å, b = 3.6132 Å, c = 8.0478 Å
α = 90.00°, β = 90.00°, γ = 90.00°
Fractional positions:
Ce1 0.0000 0.0000 0.1928
Ce2 0.0000 0.0000 0.8072
Dy1 0.5000 0.5000 0.5000
Cu1 0.5000 0.5000 0.0000



The energy of each structure relative to the most stable one, in meV/atom, is as follows: one 93; two 0.



one | CeDyCu4 | PBE | relaxed

Properties
space group	F-43m

a = 5.2699 Å, b = 5.2699 Å, c = 5.2699 Å
α = 60.00°, β = 60.00°, γ = 60.00°
Fractional positions:
Ce1 0.0000 0.0000 0.0000
Dy1 0.2500 0.2500 0.2500
Cu1 0.1270 0.6243 0.6243
Cu2 0.6243 0.1270 0.6243
Cu3 0.6243 0.6243 0.1270
Cu4 0.6243 0.6243 0.6243



two | CeDyCu4 | PBE | relaxed

Properties
space group	Imm2

a = 5.4812 Å, b = 5.4812 Å, c = 5.4812 Å
α = 133.58°, β = 102.89°, γ = 95.02°
Fractional positions:
Ce1 0.0000 0.0000 0.0000
Dy1 0.4230 0.9230 0.5000
Cu1 0.4230 0.6245 0.7985
Cu2 0.5919 0.2942 0.2977
Cu3 0.8261 0.6245 0.2015
Cu4 0.9966 0.2942 0.7023



The energy of each structure relative to the most stable one, in meV/atom, is as follows: one 97; two 0.